Compound: Tb6Dy12Mg
Source: Alexandria via LeMat-Bulk
Functional: GGA-PBE
Structure: optimized geometry

Unit cell a=8.468 b=8.468 c=8.468 alpha=88.65 beta=88.65 gamma=88.65
Sites, in units of the cell vectors:
Dy1 0.539 0.435 0.779
Dy2 0.435 0.779 0.539
Tb1 0.703 0.261 0.096
Mg1 0.000 0.000 0.000
Dy3 0.187 0.363 0.014
Tb2 0.739 0.904 0.297
Tb3 0.297 0.739 0.904
Dy4 0.221 0.461 0.565
Tb4 0.096 0.703 0.261
Dy5 0.565 0.221 0.461
Dy6 0.363 0.014 0.187
Dy7 0.637 0.986 0.813
Dy8 0.461 0.565 0.221
Tb5 0.261 0.096 0.703
Dy9 0.779 0.539 0.435
Tb6 0.904 0.297 0.739
Dy10 0.014 0.187 0.363
Dy11 0.986 0.813 0.637
Dy12 0.813 0.637 0.986

Values from the calculation:
**VASP energy**: -4.319 eV per atom
**DOS(E_F)**: 29.9 states/eV/cell
**Formation enthalpy at 0 K**: 0.134 eV per atom
**Calculated density**: 8.014 g cm⁻³


Compound: YCuW
Source: Alexandria via LeMat-Bulk
Functional: GGA-PBE
Structure: optimized geometry

Unit cell a=4.659 b=4.659 c=3.019 alpha=90.00 beta=90.00 gamma=120.00
Sites, in units of the cell vectors:
Cu1 0.000 0.000 0.166
Y1 0.333 0.667 0.667
W1 0.667 0.333 0.167

Values from the calculation:
**VASP energy**: -7.263 eV per atom
**DOS(E_F)**: 2.5 states/eV/cell
**Formation enthalpy at 0 K**: 0.574 eV per atom
**Calculated density**: 9.843 g cm⁻³


Compound: Hf2TiC4
Source: Alexandria via LeMat-Bulk
Functional: GGA-PBE
Structure: optimized geometry

Unit cell a=3.942 b=3.942 c=6.301 alpha=71.77 beta=71.77 gamma=90.00
Sites, in units of the cell vectors:
C1 0.000 0.500 0.000
C2 0.816 0.816 0.368
Hf1 0.373 0.373 0.253
C3 0.500 0.000 0.000
C4 0.184 0.184 0.632
Ti1 0.000 0.000 0.000
Hf2 0.627 0.627 0.747

Values from the calculation:
**VASP energy**: -8.802 eV per atom
**DOS(E_F)**: 3.4 states/eV/cell
**Formation enthalpy at 0 K**: 0.440 eV per atom
**Calculated density**: 8.565 g cm⁻³


Compound: CeHoLuMg
Source: Alexandria via LeMat-Bulk
Functional: GGA-PBE
Structure: optimized geometry

Unit cell a=5.454 b=5.454 c=5.454 alpha=60.00 beta=60.00 gamma=60.00
Each line ends with the local moment (μB).
Sites, in units of the cell vectors:
Ce1 0.750 0.750 0.750  0.78
Ho1 0.250 0.250 0.250  0.14
Lu1 0.500 0.500 0.500  0.17
Mg1 0.000 0.000 0.000  -0.01

Values from the calculation:
**VASP energy**: -4.083 eV per atom
**DOS(E_F)**: 6.8 states/eV/cell
**Formation enthalpy at 0 K**: 0.073 eV per atom
**Calculated density**: 7.299 g cm⁻³


Compound: PrErInGa
Source: Alexandria via LeMat-Bulk
Functional: GGA-PBE
Structure: optimized geometry

Unit cell a=5.282 b=5.282 c=5.282 alpha=60.00 beta=60.00 gamma=60.00
Sites, in units of the cell vectors:
In1 0.750 0.750 0.750
Er1 0.000 0.000 0.000
Pr1 0.500 0.500 0.500
Ga1 0.250 0.250 0.250

Values from the calculation:
**VASP energy**: -4.261 eV per atom
**DOS(E_F)**: 1.1 states/eV/cell
**Formation enthalpy at 0 K**: -0.484 eV per atom
**Calculated density**: 7.853 g cm⁻³